Model A:
The following is a PBE-GGA calculation of an optimized crystal structure of AlCrFe2, from Alexandria.

Cell lengths 3.5794, 3.5794, 7.5658 Å; angles 90.00, 90.00, 90.00 degrees
Space group I-4m2 (No. 119)
Asymmetric unit:
Al 0.0000 0.0000 0.0000 [2 per cell]
Cr 0.0000 0.5000 0.7500 [2 per cell]
Fe 0.0000 0.0000 0.5000 [2 per cell]
Fe 0.0000 0.5000 0.2500 [2 per cell]

Crystal system   tetragonal
Density of states at the Fermi level   9.153 states/eV per cell

=====

Model B:
The following is a PBE-GGA calculation of an optimized crystal structure of AlCrFe2, from Alexandria.

Cell lengths 2.5889, 2.5889, 24.3135 Å; angles 90.00, 90.00, 120.00 degrees
Space group R-3m (No. 166, hexagonal axes)
Asymmetric unit:
Al 0.0000 0.0000 0.0000 [3 per cell]
Cr 0.0000 0.0000 0.5000 [3 per cell]
Fe 0.0000 0.0000 0.2478 [6 per cell]

Crystal system   trigonal
Density of states at the Fermi level   8.297 states/eV per cell

=====

Model C:
The following is a PBE-GGA calculation of an optimized crystal structure of AlCrFe2, from Alexandria.

Cell lengths 2.7823, 2.7823, 5.8170 Å; angles 90.00, 90.00, 90.00 degrees
Space group P4/mmm (No. 123)
Asymmetric unit:
Al 0.0000 0.0000 0.0000 [1 per cell]
Cr 0.0000 0.0000 0.5000 [1 per cell]
Fe 0.5000 0.5000 0.2565 [2 per cell]

Crystal system   tetragonal
Density of states at the Fermi level   3.653 states/eV per cell

=====

Model D:
The following is a PBE-GGA calculation of an optimized crystal structure of AlCrFe2, from Alexandria.

Cell lengths 3.0107, 4.0340, 7.8563 Å; angles 90.00, 90.00, 90.00 degrees
Space group Cmmm (No. 65)
Asymmetric unit:
Al 0.0000 0.0000 0.0000 [2 per cell]
Cr 0.0000 0.0000 0.5000 [2 per cell]
Fe 0.0000 0.5000 0.2535 [4 per cell]

Crystal system   orthorhombic
Density of states at the Fermi level   6.518 states/eV per cell

=====

It is model C that is most stable; the runner-up trails by 124 meV per atom.